[1]
Computed, not measured: an optimized crystal structure of TmMgCdSn at the PBE level of DFT.

Output
Crystal system: cubic
Formation enthalpy at 0 K (eV per atom): -0.268

Unit cell a=5.142 b=5.142 c=5.142 alpha=60.00 beta=60.00 gamma=60.00
Element x y z (fractional)
Tm: 0.000 0.000 0.000
Mg: 0.500 0.500 0.500
Cd: 0.750 0.750 0.750
Sn: 0.250 0.250 0.250

***

[2]
Computed, not measured: an optimized crystal structure of Th2CuNi4P3 at the PBE level of DFT.

Output
Crystal system: tetragonal
Formation enthalpy at 0 K (eV per atom): -0.907

Unit cell a=4.020 b=4.020 c=9.414 alpha=90.00 beta=90.00 gamma=90.00
Element x y z (fractional)
Th: 0.000 0.500 0.248
Th: 0.500 0.000 0.752
Cu: 0.000 0.000 0.500
Ni: 0.000 0.000 0.000
Ni: 0.000 0.500 0.630
Ni: 0.500 0.000 0.370
Ni: 0.500 0.500 0.000
P: 0.000 0.500 0.871
P: 0.500 0.000 0.129
P: 0.500 0.500 0.500

***

Final energy? In order: -12.1 -67.4 eV for the cell shown.